Entry from Alexandria via LeMat-Bulk: a relaxed DyThTe3 crystal (PBE).

It has space group R32 (No. 155, hexagonal axes), with a = 7.3859 Å, b = 7.3859 Å, c = 23.5896 Å, α = 90.00°, β = 90.00° and γ = 120.00°. The distinct sites, in fractional coordinates, are Dy at (0.0000, 0.0000, 0.1650), Th at (0.0000, 0.0000, 0.3375) and Te at (0.0043, 0.3201, 0.7515).

For the calculated total energy, the calculation gives -5.38 eV per atom. For the density, the calculation gives 6.9 g/cm3. Its relative energy among the computed polymorphs is 0.000 eV/atom.

***

Entry from Alexandria via LeMat-Bulk: a relaxed Mn8Nb3Ga crystal (PBE).

It has space group R3m (No. 160, hexagonal axes), with a = 4.8092 Å, b = 4.8092 Å, c = 23.4744 Å, α = 90.00°, β = 90.00° and γ = 120.00°. The distinct sites, in fractional coordinates, are Mn at (0.0000, 0.0000, 0.0000), Mn at (0.0000, 0.0000, 0.4998), Mn at (0.0010, 0.5005, 0.2494), Mn at (0.0026, 0.5013, 0.7504), Nb at (0.0000, 0.0000, 0.3095), Nb at (0.0000, 0.0000, 0.6878), Nb at (0.0000, 0.0000, 0.8145) and Ga at (0.0000, 0.0000, 0.1866).

The formation energy is -0.124 eV/atom. For the calculated total energy, the calculation gives -9.01 eV per atom. For the density, the calculation gives 8.3 g/cm3.

***

Entry from Alexandria via LeMat-Bulk: a relaxed PbI2 crystal (PBE).

It has space group P-3m1 (No. 164), with a = 4.6561 Å, b = 4.6561 Å, c = 7.5449 Å, α = 90.00°, β = 90.00° and γ = 120.00°. The distinct sites, in fractional coordinates, are Pb at (0.0000, 0.0000, 0.0000) and I at (0.3333, 0.6667, 0.2476).

For the calculated total energy, the calculation gives -2.92 eV per atom. For the density, the calculation gives 5.4 g/cm3.

***

Entry from Alexandria via LeMat-Bulk: a relaxed MgCo2Cl crystal (PBE).

It has space group P4mm (No. 99), with a = 3.041 Å, b = 3.041 Å, c = 7.888 Å, α = 90.00°, β = 90.00° and γ = 90.00°. The distinct sites, in fractional coordinates, are Mg at (0.000, 0.000, 0.000), Co at (0.000, 0.000, 0.642), Co at (0.500, 0.500, 0.763) and Cl at (0.500, 0.500, 0.186).

For the calculated total energy, the calculation gives -4.47 eV per atom. For the density, the calculation gives 4.0 g/cm3. Its relative energy among the computed polymorphs is 0.011 eV/atom.

***

Entry from Alexandria via LeMat-Bulk: a relaxed Cr2IrS2 crystal (PBE).

It has space group P4/mbm (No. 127), with a = 6.737 Å, b = 6.737 Å, c = 2.918 Å, α = 90.00°, β = 90.00° and γ = 90.00°. The distinct sites, in fractional coordinates, are Cr at (0.139, 0.361, 0.000), Ir at (0.000, 0.000, 0.000) and S at (0.147, 0.647, 0.500).

For the calculated total energy, the calculation gives -7.08 eV per atom. For the density, the calculation gives 9.0 g/cm3. Its relative energy among the computed polymorphs is 0.000 eV/atom.

***

Entry from Alexandria via LeMat-Bulk: a relaxed Ce2NpTl3S6 crystal (PBE).

It has space group C2/m (No. 12), with a = 7.173 Å, b = 12.424 Å, c = 7.866 Å, α = 90.00°, β = 107.69° and γ = 90.00°. The distinct sites, in fractional coordinates, are Ce at (0.000, 0.167, 0.000), Np at (0.000, 0.500, 0.000), Tl at (0.000, 0.000, 0.500), Tl at (0.000, 0.334, 0.500), S at (0.230, 0.336, 0.198) and S at (0.239, 0.000, 0.199).

For the calculated total energy, the calculation gives -6.00 eV per atom. For the density, the calculation gives 6.6 g/cm3.

***

Entry from Alexandria via LeMat-Bulk: a relaxed Be3Br crystal (PBE).

It has space group Imm2 (No. 44), with a = 3.101 Å, b = 9.006 Å, c = 3.889 Å, α = 90.00°, β = 90.00° and γ = 90.00°. The distinct sites, in fractional coordinates, are Be at (0.000, 0.000, 0.000), Be at (0.000, 0.257, 0.259) and Br at (0.000, 0.500, 0.067).

For the calculated total energy, the calculation gives -2.40 eV per atom. For the density, the calculation gives 3.3 g/cm3. Its relative energy among the computed polymorphs is 0.625 eV/atom.

***

Entry from Alexandria via LeMat-Bulk: a relaxed Li2Ni6Os crystal (PBE).

It has space group C2/c (No. 15), with a = 10.904 Å, b = 8.816 Å, c = 4.478 Å, α = 90.00°, β = 93.56° and γ = 90.00°. The distinct sites, in fractional coordinates, are Li at (0.202, 0.041, 0.339), Ni at (0.006, 0.134, 0.001), Ni at (0.113, 0.344, 0.265), Ni at (0.183, 0.243, 0.773) and Os at (0.000, 0.405, 0.750).

The formation energy is 0.113 eV/atom. For the calculated total energy, the calculation gives -5.41 eV per atom. For the density, the calculation gives 8.6 g/cm3.

***

Entry from Alexandria via LeMat-Bulk: a relaxed BiPO2 crystal (PBE).

It has space group R-3m (No. 166, hexagonal axes), with a = 3.2470 Å, b = 3.2470 Å, c = 20.3644 Å, α = 90.00°, β = 90.00° and γ = 120.00°. The distinct sites, in fractional coordinates, are Bi at (0.0000, 0.0000, 0.0000), P at (0.0000, 0.0000, 0.5000) and O at (0.0000, 0.0000, 0.1165).

For the calculated total energy, the calculation gives -5.20 eV per atom. For the density, the calculation gives 7.3 g/cm3. Its relative energy among the computed polymorphs is 0.158 eV/atom.

***

Entry from Alexandria via LeMat-Bulk: a relaxed SrMgCd2In crystal (PBE).

It has space group I-4m2 (No. 119), with a = 4.627 Å, b = 4.627 Å, c = 12.938 Å, α = 90.00°, β = 90.00° and γ = 90.00°. The distinct sites, in fractional coordinates, are Sr at (0.000, 0.000, 0.000), Mg at (0.000, 0.500, 0.750), Cd at (0.000, 0.000, 0.391) and In at (0.000, 0.500, 0.250).

The formation energy is -0.275 eV/atom. For the calculated total energy, the calculation gives -1.84 eV per atom. For the density, the calculation gives 5.4 g/cm3.

***

Entry from Alexandria via LeMat-Bulk: a relaxed K2CrP crystal (PBE).

It has space group I4/mmm (No. 139), with a = 4.525 Å, b = 4.525 Å, c = 10.101 Å, α = 90.00°, β = 90.00° and γ = 90.00°. The distinct sites, in fractional coordinates, are K at (0.000, 0.500, 0.250), Cr at (0.000, 0.000, 0.000) and P at (0.000, 0.000, 0.500).

The formation energy is 0.527 eV/atom. For the calculated total energy, the calculation gives -3.78 eV per atom. For the density, the calculation gives 2.6 g/cm3.

***

Entry from Alexandria via LeMat-Bulk: a relaxed Na2Bi2As crystal (PBE).

It has space group P4/mbm (No. 127), with a = 7.785 Å, b = 7.785 Å, c = 4.999 Å, α = 90.00°, β = 90.00° and γ = 90.00°. The distinct sites, in fractional coordinates, are Na at (0.169, 0.331, 0.000), Bi at (0.139, 0.639, 0.500) and As at (0.000, 0.000, 0.500).

The formation energy is -0.117 eV/atom. For the calculated total energy, the calculation gives -3.13 eV per atom. For the density, the calculation gives 5.9 g/cm3.

***

Entry from Alexandria via LeMat-Bulk: a relaxed Cs2HgMoI6 crystal (PBE).

It has space group I4/mmm (No. 139), with a = 8.598 Å, b = 8.598 Å, c = 12.182 Å, α = 90.00°, β = 90.00° and γ = 90.00°. The distinct sites, in fractional coordinates, are Cs at (0.000, 0.500, 0.250), Hg at (0.000, 0.000, 0.000), Mo at (0.000, 0.000, 0.500), I at (0.000, 0.000, 0.269) and I at (0.232, 0.232, 0.500).

For the calculated total energy, the calculation gives -2.89 eV per atom. For the density, the calculation gives 4.9 g/cm3.

***

Entry from Alexandria via LeMat-Bulk: a relaxed ZrCuReBi crystal (PBE).

It has space group I-4m2 (No. 119), with a = 4.399 Å, b = 4.399 Å, c = 7.704 Å, α = 90.00°, β = 90.00° and γ = 90.00°. The distinct sites, in fractional coordinates, are Zr at (0.000, 0.000, 0.000), Cu at (0.000, 0.500, 0.250), Re at (0.000, 0.500, 0.750) and Bi at (0.000, 0.000, 0.500).

The formation energy is 0.321 eV/atom. For the calculated total energy, the calculation gives -6.92 eV per atom. For the density, the calculation gives 12.2 g/cm3. Its relative energy among the computed polymorphs is 0.152 eV/atom.

***

Entry from Alexandria via LeMat-Bulk: a relaxed Ac2Zn3In4Ga crystal (PBE).

It has space group P-4m2 (No. 115), with a = 4.699 Å, b = 4.699 Å, c = 11.216 Å, α = 90.00°, β = 90.00° and γ = 90.00°. The distinct sites, in fractional coordinates, are Ac at (0.000, 0.500, 0.244), Zn at (0.000, 0.000, 0.000), Zn at (0.000, 0.500, 0.635), In at (0.000, 0.000, 0.500), In at (0.000, 0.500, 0.869), In at (0.500, 0.500, 0.500) and Ga at (0.500, 0.500, 0.000).

The formation energy is -0.372 eV/atom. For the calculated total energy, the calculation gives -2.97 eV per atom. For the density, the calculation gives 7.9 g/cm3.

***

Entry from Alexandria via LeMat-Bulk: a relaxed NaCaAsBr2 crystal (PBE).

It has space group P4/mmm (No. 123), with a = 5.699 Å, b = 5.699 Å, c = 5.890 Å, α = 90.00°, β = 90.00° and γ = 90.00°. The distinct sites, in fractional coordinates, are Na at (0.000, 0.000, 0.000), Ca at (0.500, 0.500, 0.500), As at (0.500, 0.500, 0.000) and Br at (0.000, 0.500, 0.500).

For the calculated total energy, the calculation gives -3.11 eV per atom. For the density, the calculation gives 2.6 g/cm3. Its relative energy among the computed polymorphs is 0.000 eV/atom.

***

Entry from Alexandria via LeMat-Bulk: a relaxed La6Tb2NdEr crystal (PBE).

It has space group C2/m (No. 12), with a = 11.491 Å, b = 6.957 Å, c = 9.323 Å, α = 90.00°, β = 107.45° and γ = 90.00°. The distinct sites, in fractional coordinates, are La at (0.132, 0.000, 0.425), La at (0.198, 0.271, 0.811), Tb at (0.071, 0.500, 0.172), Nd at (0.000, 0.500, 0.500) and Er at (0.000, 0.000, 0.000).

The formation energy is 0.191 eV/atom. For the calculated total energy, the calculation gives -4.62 eV per atom. For the density, the calculation gives 6.8 g/cm3.

***

Entry from Alexandria via LeMat-Bulk: a relaxed PmNi3C crystal (PBE).

It has space group P6_3/mmc (No. 194), with a = 5.6310 Å, b = 5.6310 Å, c = 4.9509 Å, α = 90.00°, β = 90.00° and γ = 120.00°. The distinct sites, in fractional coordinates, are Pm at (0.3333, 0.6667, 0.2500), Ni at (0.1567, 0.3134, 0.7500) and C at (0.0000, 0.0000, 0.0000).

The formation energy is 0.052 eV/atom. For the calculated total energy, the calculation gives -6.21 eV per atom. For the density, the calculation gives 8.1 g/cm3. Its relative energy among the computed polymorphs is 0.131 eV/atom.

***

Entry from Alexandria via LeMat-Bulk: a relaxed MgTe2Pt crystal (PBE).

It has space group Cm (No. 8), with a = 8.415 Å, b = 3.937 Å, c = 6.535 Å, α = 90.00°, β = 111.50° and γ = 90.00°. The distinct sites, in fractional coordinates, are Mg at (0.000, 0.000, 0.000), Te at (0.283, 0.500, 0.216), Te at (0.494, 0.000, 0.648) and Pt at (0.249, 0.000, 0.854).

For the calculated total energy, the calculation gives -3.85 eV per atom. For the density, the calculation gives 7.8 g/cm3.

***

Entry from Alexandria via LeMat-Bulk: a relaxed NiHPt2Au crystal (PBE).

It has space group P4/mmm (No. 123), with a = 3.978 Å, b = 3.978 Å, c = 4.024 Å, α = 90.00°, β = 90.00° and γ = 90.00°. The distinct sites, in fractional coordinates, are Ni at (0.000, 0.000, 0.000), H at (0.000, 0.000, 0.500), Pt at (0.000, 0.500, 0.500) and Au at (0.500, 0.500, 0.000).

For the calculated total energy, the calculation gives -4.83 eV per atom. For the density, the calculation gives 16.9 g/cm3. Its relative energy among the computed polymorphs is 0.000 eV/atom.